Compound: SrLaP2Pd2
Source: the Open Quantum Materials Database
Functional: PBE
Structure: optimized geometry

As for the raw total energy: -5.809 eV/atom.

The structure belongs to space group P-3m1 (No. 164); the cell edges are 4.2260, 4.2260 and 8.4132 Å and the angles 90.00°, 90.00° and 120.00°. Symmetry generates all atoms from Sr at (0.0000, 0.0000, 0.0000), La at (0.0000, 0.0000, 0.5000), P at (0.3333, 0.6667, 0.7365) and Pd at (0.3333, 0.6667, 0.2553).